No. 1
Here is crystalline Cd3FeAs at its relaxed geometry from Alexandria via LeMat-Bulk. Energies are from PBEsol.

Lattice parameters (Å, degrees): 4.886 4.886 4.886 90.00 90.00 90.00
Space group Pm-3m (No. 221)
Unique sites:
Cd 0.000 0.000 0.500 [3 per cell]
Fe 0.000 0.000 0.000 [1 per cell]
As 0.500 0.500 0.500 [1 per cell]

Summary:
- E_tot (eV per atom) = -2.714
- ΔE_f (eV per atom) = 0.82


No. 2
Here is crystalline MgCd2FeAs at its relaxed geometry from Alexandria via LeMat-Bulk. Energies are from PBEsol.

Lattice parameters (Å, degrees): 4.869 4.869 4.858 90.00 90.00 90.00
Space group P4/mmm (No. 123)
Unique sites:
Mg 0.000 0.000 0.000 [1 per cell]
Cd 0.000 0.500 0.500 [2 per cell]
Fe 0.000 0.000 0.500 [1 per cell]
As 0.500 0.500 0.000 [1 per cell]

Summary:
- E_tot (eV per atom) = -2.891
- ΔE_f (eV per atom) = 0.74


No. 3
Here is crystalline ZrCdFeAs2 at its relaxed geometry from Alexandria via LeMat-Bulk. Energies are from PBEsol.

Lattice parameters (Å, degrees): 4.882 4.882 5.305 90.00 90.00 90.00
Space group P4/mmm (No. 123)
Unique sites:
Zr 0.000 0.000 0.000 [1 per cell]
Cd 0.000 0.000 0.500 [1 per cell]
Fe 0.500 0.500 0.000 [1 per cell]
As 0.000 0.500 0.500 [2 per cell]

Summary:
- E_tot (eV per atom) = -4.413
- ΔE_f (eV per atom) = 1.48


no.,DOS(E_F) (states/eV per cell)
1,2.887
2,3.077
3,5.952